Record 1
The following is a PBE-GGA calculation of an optimized crystal structure of DySnB4, from OQMD via LeMat-Bulk.

Calculated values
- space-group type = P6/mmm (191)
- ΔE to the lowest computed polymorph (eV per atom) = 0.105

Cell: 3.2291 3.2291 8.2040 Å, 90.00 90.00 120.00°
Atoms (fractional coordinates):
1 B 0.6667 0.3333 0.2671
2 B 0.3333 0.6667 0.2671
3 B 0.6667 0.3333 0.7329
4 B 0.3333 0.6667 0.7329
5 Dy 0.0000 0.0000 0.5000
6 Sn 0.0000 0.0000 0.0000

---

Record 2
The following is a PBE-GGA calculation of an optimized crystal structure of NaSmZr, from OQMD via LeMat-Bulk.

Calculated values
- space-group type = F-43m (216)
- ΔE to the lowest computed polymorph (eV per atom) = 0.088

Cell: 5.2152 5.2152 5.2152 Å, 60.00 60.00 60.00°
Atoms (fractional coordinates):
1 Na 0.2500 0.2500 0.2500
2 Sm 0.0000 0.0000 0.0000
3 Zr 0.7500 0.7500 0.7500

---

Record 3
The following is a PBE-GGA calculation of an optimized crystal structure of La5Cu19P12, from OQMD via LeMat-Bulk.

Calculated values
- electronic total energy (eV/atom) = -4.9917
- space-group type = P-62m (189)

Cell: 12.7076 12.7076 3.9701 Å, 90.00 90.00 120.00°
Atoms (fractional coordinates):
1 Cu 0.0000 0.0000 0.0000
2 Cu 0.4498 0.0000 0.0000
3 Cu 0.3788 0.1726 0.0000
4 Cu 0.8274 0.2062 0.0000
5 Cu 0.1726 0.3788 0.0000
6 Cu 0.0000 0.4498 0.0000
7 Cu 0.5502 0.5502 0.0000
8 Cu 0.7938 0.6212 0.0000
9 Cu 0.6212 0.7938 0.0000
10 Cu 0.2062 0.8274 0.0000
11 Cu 0.2882 0.0000 0.5000
12 Cu 0.6351 0.1181 0.5000
13 Cu 0.0000 0.2882 0.5000
14 Cu 0.4830 0.3649 0.5000
15 Cu 0.3649 0.4830 0.5000
16 Cu 0.8819 0.5170 0.5000
17 Cu 0.1181 0.6351 0.5000
18 Cu 0.7118 0.7118 0.5000
19 Cu 0.5170 0.8819 0.5000
20 La 0.6666 0.3333 0.0000
21 La 0.3333 0.6666 0.0000
22 La 0.8078 0.0000 0.5000
23 La 0.1922 0.1922 0.5000
24 La 0.0000 0.8078 0.5000
25 P 0.1767 0.0000 0.0000
26 P 0.6312 0.0000 0.0000
27 P 0.0000 0.1767 0.0000
28 P 0.3688 0.3688 0.0000
29 P 0.0000 0.6312 0.0000
30 P 0.8233 0.8233 0.0000
31 P 0.4795 0.1719 0.5000
32 P 0.8281 0.3076 0.5000
33 P 0.1719 0.4795 0.5000
34 P 0.6924 0.5205 0.5000
35 P 0.5205 0.6924 0.5000
36 P 0.3076 0.8281 0.5000

---

Record 4
The following is a PBE-GGA calculation of an optimized crystal structure of PtN, from OQMD via LeMat-Bulk.

Calculated values
- electronic total energy (eV/atom) = -5.8088
- space-group type = Fm-3m (225)

Cell: 3.1664 3.1664 3.1664 Å, 60.00 60.00 60.00°
Atoms (fractional coordinates):
1 N 0.0000 0.0000 0.0000
2 Pt 0.5000 0.5000 0.5000

---

Record 5
The following is a PBE-GGA calculation of an optimized crystal structure of Ta2ClF13, from OQMD via LeMat-Bulk.

Calculated values
- electronic total energy (eV/atom) = -5.5451
- space-group type = P2_1/c (14)

Cell: 6.9466 8.1697 12.8214 Å, 89.99 88.76 90.00°
Atoms (fractional coordinates):
1 Cl 0.7692 0.1788 0.0728
2 Cl 0.7307 0.6788 0.4281
3 Cl 0.2693 0.3205 0.5728
4 Cl 0.2307 0.8205 0.9282
5 F 0.3277 0.4551 0.0035
6 F 0.0445 0.6504 0.0050
7 F 0.5751 0.2143 0.0099
8 F 0.7742 0.8457 0.0193
9 F 0.3383 0.9706 0.1524
10 F 0.0129 0.1246 0.1528
11 F 0.6612 0.0611 0.1556
12 F 0.3146 0.6524 0.1592
13 F 0.0072 0.8179 0.1642
14 F 0.3018 0.2967 0.1700
15 F 0.9793 0.5077 0.1723
16 F 0.6202 0.4705 0.1774
17 F 0.6640 0.7624 0.2008
18 F 0.8358 0.2624 0.3001
19 F 0.8796 0.9704 0.3236
20 F 0.5205 0.0077 0.3287
21 F 0.1980 0.7967 0.3310
22 F 0.4926 0.3179 0.3367
23 F 0.1850 0.1524 0.3418
24 F 0.8385 0.5611 0.3454
25 F 0.4868 0.6246 0.3482
26 F 0.1615 0.4705 0.3485
27 F 0.7257 0.3457 0.4817
28 F 0.9245 0.7143 0.4910
29 F 0.4554 0.1503 0.4960
30 F 0.1721 0.9551 0.4974
31 F 0.8278 0.0442 0.5036
32 F 0.5446 0.8490 0.5050
33 F 0.0753 0.2850 0.5100
34 F 0.2742 0.6536 0.5193
35 F 0.8384 0.5287 0.6524
36 F 0.5130 0.3746 0.6528
37 F 0.1613 0.4381 0.6556
38 F 0.8148 0.8468 0.6592
39 F 0.5074 0.6814 0.6642
40 F 0.8019 0.2026 0.6700
41 F 0.4794 0.9916 0.6723
42 F 0.1203 0.0289 0.6774
43 F 0.1641 0.7369 0.7008
44 F 0.3358 0.2369 0.8001
45 F 0.3797 0.5289 0.8236
46 F 0.0205 0.4917 0.8287
47 F 0.6980 0.7026 0.8309
48 F 0.9926 0.1814 0.8367
49 F 0.6852 0.3469 0.8417
50 F 0.3386 0.9382 0.8454
51 F 0.9869 0.8746 0.8482
52 F 0.6617 0.0287 0.8485
53 F 0.2257 0.1536 0.9817
54 F 0.4247 0.7851 0.9911
55 F 0.9554 0.3489 0.9960
56 F 0.6720 0.5442 0.9974
57 Ta 0.8112 0.6519 0.0986
58 Ta 0.3577 0.4806 0.2492
59 Ta 0.1421 0.9804 0.2517
60 Ta 0.6887 0.1518 0.4024
61 Ta 0.3112 0.8475 0.5986
62 Ta 0.8578 0.0188 0.7493
63 Ta 0.6423 0.5187 0.7517
64 Ta 0.1886 0.3475 0.9023

---

Record 6
The following is a PBE-GGA calculation of an optimized crystal structure of LiErNO, from OQMD via LeMat-Bulk.

Calculated values
- space-group type = Pmc2_1 (26)
- ΔE to the lowest computed polymorph (eV per atom) = 0.061

Cell: 3.7688 4.4799 6.4670 Å, 90.00 90.00 90.00°
Atoms (fractional coordinates):
1 Er 0.0000 0.4399 0.2992
2 Er 0.0000 0.9399 0.7008
3 Li 0.5000 0.9543 0.1509
4 Li 0.5000 0.4543 0.8491
5 N 0.0000 0.9389 0.3480
6 N 0.0000 0.4389 0.6520
7 O 0.5000 0.4210 0.1467
8 O 0.5000 0.9210 0.8533

---

Record 7
The following is a PBE-GGA calculation of an optimized crystal structure of PrYSi2Au2, from OQMD via LeMat-Bulk.

Calculated values
- electronic total energy (eV/atom) = -5.5958
- space-group type = P-3m1 (164)

Cell: 4.3245 4.3245 8.0809 Å, 90.00 90.00 120.00°
Atoms (fractional coordinates):
1 Au 0.3333 0.6667 0.2659
2 Au 0.6667 0.3333 0.7341
3 Pr 0.0000 0.0000 0.0000
4 Si 0.6667 0.3333 0.2549
5 Si 0.3333 0.6667 0.7451
6 Y 0.0000 0.0000 0.5000

---

Record 8
The following is a PBE-GGA calculation of an optimized crystal structure of NaBiTeMo, from OQMD via LeMat-Bulk.

Calculated values
- space-group type = F-43m (216)
- ΔE to the lowest computed polymorph (eV per atom) = 0.474

Cell: 5.2488 5.2488 5.2488 Å, 60.00 60.00 60.00°
Atoms (fractional coordinates):
1 Bi 0.5000 0.5000 0.5000
2 Mo 0.0000 0.0000 0.0000
3 Na 0.7500 0.7500 0.7500
4 Te 0.2500 0.2500 0.2500